AlRe2NiOs: optimized geometry, PBE.

a = 4.415 Å, b = 4.131 Å, c = 4.415 Å
α = 90.00°, β = 90.00°, γ = 90.00°
Fractional positions:
Re (0.000, 0.000, 0.500)
Re (0.500, 0.000, 0.000)
Ni (0.000, 0.000, 0.000)
Os (0.500, 0.500, 0.500)
Al (0.000, 0.500, 0.000)

Computed properties:
space-group type	P4/mmm, No. 123
calculated formation energy	1.43	eV/atom

***

Dy3IrPb: optimized geometry, PBE.

a = 5.390 Å, b = 6.987 Å, c = 8.499 Å
α = 90.00°, β = 90.00°, γ = 114.23°
Fractional positions:
Dy (0.140, 0.768, 0.446)
Dy (0.140, 0.768, 0.054)
Dy (0.441, 0.396, 0.250)
Dy (0.860, 0.232, 0.946)
Dy (0.860, 0.232, 0.554)
Dy (0.559, 0.604, 0.750)
Ir (0.948, 0.410, 0.250)
Ir (0.052, 0.590, 0.750)
Pb (0.727, 0.928, 0.250)
Pb (0.273, 0.072, 0.750)

Computed properties:
space-group type	P2_1/m, No. 11
calculated formation energy	-0.55	eV/atom

***

Y2Be: optimized geometry, PBE.

a = 4.744 Å, b = 4.744 Å, c = 3.786 Å
α = 90.00°, β = 90.00°, γ = 120.00°
Fractional positions:
Y (0.333, 0.667, 0.267)
Y (0.667, 0.333, 0.733)
Be (0.000, 0.000, 0.000)

Computed properties:
space-group type	P-3m1, No. 164
calculated formation energy	0.28	eV/atom

***

CaTi2Pb: optimized geometry, PBE.

a = 8.215 Å, b = 8.215 Å, c = 6.553 Å
α = 51.18°, β = 51.18°, γ = 90.00°
Fractional positions:
Ca (0.500, 0.500, 0.000)
Ca (0.250, 0.750, 0.500)
Ti (0.657, 0.125, 0.250)
Ti (0.375, 0.343, 0.750)
Ti (0.093, 0.625, 0.250)
Ti (0.875, 0.907, 0.750)
Pb (0.000, 0.000, 0.000)
Pb (0.750, 0.250, 0.500)

Computed properties:
space-group type	I-42d, No. 122
calculated formation energy	0.56	eV/atom

***

BSbH: optimized geometry, PBE.

a = 3.163 Å, b = 5.478 Å, c = 6.426 Å
α = 111.72°, β = 103.93°, γ = 90.08°
Fractional positions:
H (0.614, 0.731, 0.409)
H (0.868, 0.247, 0.909)
B (0.961, 0.427, 0.098)
B (0.522, 0.545, 0.222)
Sb (0.914, 0.788, 0.995)
Sb (0.111, 0.277, 0.400)

Computed properties:
space-group type	P1, No. 1
electronic total energy	-27.301	eV/cell

***

SbNCl3: optimized geometry, PBE.

a = 5.293 Å, b = 5.293 Å, c = 5.293 Å
α = 90.00°, β = 90.00°, γ = 90.00°
Fractional positions:
Cl (0.500, 0.000, 0.000)
Cl (0.000, 0.500, 0.000)
Cl (0.000, 0.000, 0.500)
Sb (0.000, 0.000, 0.000)
N (0.500, 0.500, 0.500)

Computed properties:
space-group type	Pm-3m, No. 221
formation energy without anion corrections	421	meV per atom